{"formula": "AlAs2CCl", "functional": "GGA-PBE", "state": "relaxed", "lattice": [[-1.091, 1.830, 4.709], [-2.824, -2.106, 0.164], [2.897, -3.720, 2.117]], "species": ["Al", "As", "As", "C", "Cl"], "frac_coords": [[0.500, 0.500, 0.500], [0.000, 0.000, 0.500], [0.500, 0.000, 0.000], [0.000, 0.500, 0.000], [0.000, 0.000, 0.000]], "formation_energy_uncorrected_ev_per_atom": 1.769}

{"formula": "DySc3Ni2", "functional": "GGA-PBE", "state": "relaxed", "lattice": [[-3.373, 0.314, 0.704], [0.764, -5.221, 5.986], [1.796, 6.702, 5.616]], "species": ["Sc", "Sc", "Sc", "Sc", "Sc", "Sc", "Ni", "Ni", "Ni", "Ni", "Dy", "Dy"], "frac_coords": [[0.500, 0.671, 0.205], [0.000, 0.491, 0.937], [0.000, 0.991, 0.063], [0.000, 0.830, 0.722], [0.500, 0.171, 0.795], [0.000, 0.330, 0.278], [0.000, 0.230, 0.583], [0.000, 0.730, 0.417], [0.500, 0.769, 0.925], [0.500, 0.269, 0.075], [0.500, 0.010, 0.429], [0.500, 0.510, 0.571]], "formation_enthalpy_0k_mev_per_atom": -316}

{"formula": "Ac5Tl5Zn2", "functional": "GGA-PBE", "state": "relaxed", "lattice": [[-1.077, 2.337, 4.368], [-6.655, -4.798, 3.870], [6.574, -2.638, 5.974]], "species": ["Tl", "Tl", "Tl", "Tl", "Tl", "Ac", "Ac", "Ac", "Ac", "Ac", "Zn", "Zn"], "frac_coords": [[0.019, 0.732, 0.229], [0.000, 0.000, 0.000], [0.298, 0.745, 0.659], [0.981, 0.268, 0.771], [0.702, 0.255, 0.341], [0.693, 0.680, 0.934], [0.341, 0.988, 0.330], [0.659, 0.012, 0.670], [0.000, 0.500, 0.500], [0.307, 0.320, 0.066], [0.581, 0.569, 0.268], [0.419, 0.431, 0.732]], "formation_enthalpy_0k_mev_per_atom": -303}

{"formula": "SnI", "functional": "GGA-PBE", "state": "relaxed", "lattice": [[8.654, 0.000, 0.000], [0.000, 7.641, 0.000], [0.000, 0.000, 9.773]], "species": ["I", "I", "I", "I", "I", "I", "I", "I", "Sn", "Sn", "Sn", "Sn", "Sn", "Sn", "Sn", "Sn"], "frac_coords": [[0.480, 0.729, 0.005], [0.520, 0.229, 0.495], [0.980, 0.771, 0.995], [0.271, 0.754, 0.385], [0.020, 0.271, 0.505], [0.771, 0.746, 0.615], [0.729, 0.254, 0.115], [0.229, 0.246, 0.885], [0.239, 0.728, 0.694], [0.739, 0.772, 0.306], [0.761, 0.228, 0.806], [0.008, 0.013, 0.254], [0.992, 0.513, 0.246], [0.492, 0.987, 0.754], [0.508, 0.487, 0.746], [0.261, 0.272, 0.194]], "formation_energy_uncorrected_ev_per_atom": -0.242}

{"formula": "CaTiSiCl2", "functional": "GGA-PBE", "state": "relaxed", "lattice": [[4.743, 0.000, 0.000], [0.000, 5.191, 0.000], [0.000, 0.000, 4.743]], "species": ["Cl", "Cl", "Ca", "Si", "Ti"], "frac_coords": [[0.500, 0.000, 0.000], [0.000, 0.000, 0.500], [0.500, 0.500, 0.500], [0.000, 0.500, 0.000], [0.000, 0.000, 0.000]], "formation_energy_uncorrected_ev_per_atom": -0.766}

{"formula": "TbZrZn", "functional": "GGA-PBE", "state": "relaxed", "lattice": [[3.399, 0.000, 0.000], [0.000, 3.399, 0.000], [-1.700, -1.700, 5.959]], "species": ["Zr", "Tb", "Zn"], "frac_coords": [[0.315, 0.315, 0.631], [0.007, 0.007, 0.013], [0.678, 0.678, 0.356]], "formation_enthalpy_0k_mev_per_atom": -149}

{"formula": "SrPrMg2In2", "functional": "GGA-PBE", "state": "relaxed", "lattice": [[-0.634, -2.483, -4.404], [-3.288, -0.719, 3.826], [-4.442, 5.929, -2.703]], "species": ["Sr", "Mg", "Mg", "Pr", "In", "In"], "frac_coords": [[0.000, 0.000, 0.000], [0.333, 0.667, 0.712], [0.667, 0.333, 0.288], [0.000, 0.000, 0.500], [0.333, 0.667, 0.282], [0.667, 0.333, 0.718]], "formation_enthalpy_0k_mev_per_atom": -371}

{"formula": "Mg3SiOs", "functional": "GGA-PBE", "state": "relaxed", "lattice": [[-1.530, -4.221, -2.078], [1.806, -2.545, 3.840], [-4.345, 0.429, 2.328]], "species": ["Mg", "Mg", "Mg", "Os", "Si"], "frac_coords": [[0.000, 0.500, 0.000], [0.500, 0.000, 0.000], [0.000, 0.000, 0.500], [0.000, 0.000, 0.000], [0.500, 0.500, 0.500]], "formation_energy_uncorrected_ev_per_atom": 0.848}

{"formula": "Cr2HgN", "functional": "GGA-PBE", "state": "relaxed", "lattice": [[6.057, 0.000, 0.000], [0.000, 6.057, 0.000], [3.029, 3.029, 3.334]], "species": ["Cr", "Cr", "Cr", "Cr", "N", "N", "Hg", "Hg"], "frac_coords": [[0.375, 0.503, 0.750], [0.253, 0.625, 0.250], [0.875, 0.747, 0.750], [0.497, 0.125, 0.250], [0.500, 0.500, 0.000], [0.250, 0.750, 0.500], [0.000, 0.000, 0.000], [0.750, 0.250, 0.500]], "formation_energy_uncorrected_ev_per_atom": 0.145}

{"formula": "Pr12Sm6Tm", "functional": "GGA-PBE", "state": "relaxed", "lattice": [[-2.407, -4.459, -8.586], [8.153, -4.002, 4.113], [-7.668, 0.194, 6.369]], "species": ["Pr", "Pr", "Pr", "Pr", "Pr", "Pr", "Pr", "Pr", "Pr", "Pr", "Pr", "Pr", "Sm", "Sm", "Sm", "Sm", "Sm", "Sm", "Tm"], "frac_coords": [[0.120, 0.500, 0.880], [0.727, 0.085, 0.727], [0.273, 0.915, 0.273], [0.500, 0.880, 0.120], [0.273, 0.273, 0.915], [0.880, 0.120, 0.500], [0.880, 0.500, 0.120], [0.120, 0.880, 0.500], [0.915, 0.273, 0.273], [0.500, 0.120, 0.880], [0.727, 0.727, 0.085], [0.085, 0.727, 0.727], [0.728, 0.479, 0.728], [0.728, 0.728, 0.479], [0.521, 0.272, 0.272], [0.272, 0.272, 0.521], [0.479, 0.728, 0.728], [0.272, 0.521, 0.272], [0.000, 0.000, 0.000]], "formation_enthalpy_0k_mev_per_atom": 304}

{"formula": "TlInOs", "functional": "GGA-PBE", "state": "relaxed", "lattice": [[-0.107, 1.077, -5.362], [-0.715, -3.642, -4.019], [-2.033, 1.631, 4.809]], "species": ["Os", "Tl", "In"], "frac_coords": [[0.344, 0.344, 0.000], [0.674, 0.674, 0.000], [0.983, 0.983, 0.000]], "formation_enthalpy_0k_mev_per_atom": 721}

{"formula": "Pr4CdRu", "functional": "GGA-PBE", "state": "relaxed", "lattice": [[-3.415, 3.549, 4.129], [-5.208, -6.192, -4.920], [5.267, -3.195, 5.068]], "species": ["Pr", "Pr", "Pr", "Pr", "Pr", "Pr", "Pr", "Pr", "Ru", "Ru", "Cd", "Cd"], "frac_coords": [[0.100, 0.200, 0.829], [0.399, 0.943, 0.666], [0.771, 0.371, 0.171], [0.601, 0.057, 0.334], [0.229, 0.629, 0.829], [0.767, 0.723, 0.666], [0.233, 0.277, 0.334], [0.900, 0.800, 0.171], [0.750, 0.000, 0.000], [0.250, 0.000, 0.000], [0.372, 0.622, 0.243], [0.628, 0.378, 0.757]], "formation_enthalpy_0k_mev_per_atom": -194}